# 1
Material: BaInGa3
Method: DFT, PBE
State: optimized geometry

Cell lengths 5.389, 5.389, 5.389 Å; angles 90.00, 90.00, 90.00 degrees
Sites, in units of the cell vectors:
Ba 0.000 0.000 0.000
In 0.500 0.500 0.500
Ga 0.000 0.500 0.500
Ga 0.500 0.000 0.500
Ga 0.500 0.500 0.000

Values from the calculation:
Crystal system: cubic
SG: Pm-3m (221)
E above lowest polymorph: 469.4 meV per atom

# 2
Material: CsTeO2F
Method: DFT, PBE
State: optimized geometry

Cell lengths 4.237, 4.237, 4.973 Å; angles 90.00, 90.00, 90.00 degrees
Sites, in units of the cell vectors:
Cs 0.000 0.000 0.000
Te 0.500 0.500 0.500
O 0.000 0.500 0.500
O 0.500 0.000 0.500
F 0.500 0.500 0.000

Values from the calculation:
Raw formation energy: -1.462 eV/atom
Crystal system: tetragonal
SG: P4/mmm (123)

# 3
Material: CaGaTc2O8
Method: DFT, PBE
State: optimized geometry

Cell lengths 5.721, 5.721, 6.408 Å; angles 90.00, 90.00, 120.00 degrees
Sites, in units of the cell vectors:
Ca 0.000 0.000 0.000
Ga 0.000 0.000 0.500
Tc 0.333 0.667 0.769
Tc 0.667 0.333 0.231
O 0.154 0.307 0.700
O 0.154 0.846 0.700
O 0.307 0.154 0.300
O 0.333 0.667 0.043
O 0.667 0.333 0.957
O 0.693 0.846 0.700
O 0.846 0.154 0.300
O 0.846 0.693 0.300

Values from the calculation:
Raw formation energy: -1.595 eV/atom
Crystal system: trigonal
SG: P-3m1 (164)

| no. | V (Å³/f.u.) | size of the total moment (μB/f.u.) | Fermi-level density of states (states/eV/atom) |
| --- | --- | --- | --- |
| 1 | 156.5 | 0.00 | 1.00 |
| 2 | 89.3 | 0.00 | 0.09 |
| 3 | 181.6 | 3.00 | 0.61 |